Entry 1:
! Cd4Pb GGA-PBE relaxed; values from VASP
! - Formation energy: 0.181 eV per formula unit
! - ρ: 8.8 g cm⁻³
! - Offset from the most stable computed form: 0.000 eV/atom
&SYSTEM
  ibrav = 0, nat = 5, ntyp = 2
/
ATOMIC_SPECIES
Cd 112.41 Cd.upf
Pb 207.20 Pb.upf
CELL_PARAMETERS angstrom
-0.629 3.208 -0.251
-4.375 -0.767 1.157
4.428 -0.222 7.490
ATOMIC_POSITIONS crystal
Cd 0.612 0.612 0.224
Cd 0.202 0.202 0.404
Cd 0.798 0.798 0.596
Cd 0.388 0.388 0.776
Pb 0.000 0.000 0.000


Entry 2:
! Cd5Pb3 GGA-PBE relaxed; values from VASP
! - Formation energy: 0.458 eV per formula unit
! - ρ: 9.1 g cm⁻³
! - Offset from the most stable computed form: 0.023 eV/atom
&SYSTEM
  ibrav = 0, nat = 16, ntyp = 2
/
ATOMIC_SPECIES
Pb 207.20 Pb.upf
Cd 112.41 Cd.upf
CELL_PARAMETERS angstrom
-1.778 -8.281 -3.583
1.730 5.263 8.360
-7.910 4.702 -1.039
ATOMIC_POSITIONS crystal
Pb 0.739 0.836 0.079
Pb 0.311 0.242 0.968
Pb 0.345 0.236 0.418
Pb 0.803 0.869 0.543
Pb 0.162 0.638 0.850
Pb 0.746 0.284 0.073
Cd 0.316 0.758 0.526
Cd 0.722 0.241 0.468
Cd 0.832 0.113 0.837
Cd 0.166 0.872 0.135
Cd 0.870 0.635 0.346
Cd 0.310 0.478 0.700
Cd 0.349 0.048 0.700
Cd 0.448 0.805 0.235
Cd 0.095 0.333 0.334
Cd 0.778 0.614 0.788


Entry 3:
! Cd5Pb4 GGA-PBE relaxed; values from VASP
! - Formation energy: 0.869 eV per formula unit
! - ρ: 9.3 g cm⁻³
! - Offset from the most stable computed form: 0.033 eV/atom
&SYSTEM
  ibrav = 0, nat = 18, ntyp = 2
/
ATOMIC_SPECIES
Pb 207.20 Pb.upf
Cd 112.41 Cd.upf
CELL_PARAMETERS angstrom
-9.082 -3.029 -0.626
7.193 -5.877 -2.400
0.282 -2.065 5.903
ATOMIC_POSITIONS crystal
Pb 0.000 0.000 0.000
Pb 0.000 0.000 0.500
Pb 0.000 0.370 0.250
Pb 0.630 0.630 0.250
Pb 0.370 0.000 0.250
Pb 0.000 0.630 0.750
Pb 0.370 0.370 0.750
Pb 0.630 0.000 0.750
Cd 0.000 0.697 0.250
Cd 0.303 0.303 0.250
Cd 0.697 0.000 0.250
Cd 0.000 0.303 0.750
Cd 0.697 0.697 0.750
Cd 0.303 0.000 0.750
Cd 0.667 0.333 0.000
Cd 0.333 0.667 0.500
Cd 0.333 0.667 0.000
Cd 0.667 0.333 0.500


Entry 4:
! Cd4Pb GGA-PBE relaxed; values from VASP
! - Formation energy: 0.431 eV per formula unit
! - ρ: 8.4 g cm⁻³
! - Offset from the most stable computed form: 0.050 eV/atom
&SYSTEM
  ibrav = 0, nat = 20, ntyp = 2
/
ATOMIC_SPECIES
Cd 112.41 Cd.upf
Pb 207.20 Pb.upf
CELL_PARAMETERS angstrom
8.786 0.000 0.000
-2.929 8.283 0.000
-2.929 -4.142 7.173
ATOMIC_POSITIONS crystal
Cd 0.780 0.780 0.780
Cd 0.220 0.000 0.000
Cd 0.000 0.220 0.000
Cd 0.000 0.000 0.220
Cd 0.651 0.651 0.000
Cd 0.349 0.349 0.000
Cd 0.651 0.000 0.651
Cd 0.349 0.000 0.349
Cd 0.000 0.651 0.651
Cd 0.000 0.349 0.349
Cd 0.250 0.750 0.500
Cd 0.750 0.250 0.500
Cd 0.750 0.500 0.250
Cd 0.250 0.500 0.750
Cd 0.500 0.250 0.750
Cd 0.500 0.750 0.250
Pb 0.422 0.422 0.422
Pb 0.578 0.000 0.000
Pb 0.000 0.578 0.000
Pb 0.000 0.000 0.578


Entry 5:
! CdPb GGA-PBE relaxed; values from VASP
! - Formation energy: 0.850 eV per formula unit
! - ρ: 6.9 g cm⁻³
&SYSTEM
  ibrav = 0, nat = 8, ntyp = 2
/
ATOMIC_SPECIES
Cd 112.41 Cd.upf
Pb 207.20 Pb.upf
CELL_PARAMETERS angstrom
6.753 0.000 0.000
0.000 6.753 0.000
0.000 0.000 6.753
ATOMIC_POSITIONS crystal
Cd 0.250 0.250 0.250
Cd 0.250 0.750 0.750
Cd 0.750 0.250 0.750
Cd 0.750 0.750 0.250
Pb 0.000 0.000 0.000
Pb 0.000 0.500 0.500
Pb 0.500 0.000 0.500
Pb 0.500 0.500 0.000


Entry 6:
! Cd17Pb2 GGA-PBE relaxed; values from VASP
! - Formation energy: 0.813 eV per formula unit
! - ρ: 8.3 g cm⁻³
&SYSTEM
  ibrav = 0, nat = 19, ntyp = 2
/
ATOMIC_SPECIES
Cd 112.41 Cd.upf
Pb 207.20 Pb.upf
CELL_PARAMETERS angstrom
7.830 0.010 0.009
1.120 7.749 0.009
1.120 0.971 7.688
ATOMIC_POSITIONS crystal
Cd 0.648 0.648 0.146
Cd 0.146 0.648 0.648
Cd 0.899 0.899 0.899
Cd 0.101 0.101 0.101
Cd 0.000 0.000 0.500
Cd 0.000 0.500 0.000
Cd 0.500 0.000 0.000
Cd 0.302 0.698 0.000
Cd 0.698 0.000 0.302
Cd 0.000 0.302 0.698
Cd 0.698 0.302 0.000
Cd 0.302 0.000 0.698
Cd 0.000 0.698 0.302
Cd 0.854 0.352 0.352
Cd 0.352 0.352 0.854
Cd 0.352 0.854 0.352
Cd 0.648 0.146 0.648
Pb 0.387 0.387 0.387
Pb 0.613 0.613 0.613


Entry 7:
! CdPb3 GGA-PBE relaxed; values from VASP
! - Formation energy: 0.241 eV per formula unit
! - ρ: 10.2 g cm⁻³
&SYSTEM
  ibrav = 0, nat = 4, ntyp = 2
/
ATOMIC_SPECIES
Pb 207.20 Pb.upf
Cd 112.41 Cd.upf
CELL_PARAMETERS angstrom
3.563 0.000 0.000
0.000 5.549 0.000
0.000 0.000 6.031
ATOMIC_POSITIONS crystal
Pb 0.500 0.000 0.506
Pb 0.500 0.500 0.844
Pb 0.000 0.500 0.323
Cd 0.000 0.000 0.994


Entry 8:
! Cd3Pb GGA-PBE relaxed; values from VASP
! - Formation energy: 0.416 eV per formula unit
! - ρ: 8.8 g cm⁻³
&SYSTEM
  ibrav = 0, nat = 4, ntyp = 2
/
ATOMIC_SPECIES
Pb 207.20 Pb.upf
Cd 112.41 Cd.upf
CELL_PARAMETERS angstrom
-1.368 -4.040 -3.062
-3.316 -3.652 1.799
-4.874 -0.299 -1.929
ATOMIC_POSITIONS crystal
Pb 0.250 0.250 0.250
Cd 0.000 0.000 0.000
Cd 0.750 0.750 0.750
Cd 0.500 0.500 0.500